# LiPtAu3Se4

A relaxed LiPtAu3Se4 crystal (GGA-PBE, the Open Quantum Materials Database).

a b c (Å): 6.032 6.032 6.032
angles (deg): 90.00 90.00 90.00
Atoms (fractional coordinates):
1 Li 0.000 0.000 0.000
2 Pt 0.500 0.500 0.500
3 Au 0.000 0.500 0.500
4 Au 0.500 0.000 0.500
5 Au 0.500 0.500 0.000
6 Se 0.248 0.248 0.248
7 Se 0.248 0.752 0.752
8 Se 0.752 0.248 0.752
9 Se 0.752 0.752 0.248

Values from the calculation:
total energy = -3.501 eV per atom
total magnetization = 0.0 μB per cell

***

# LiTe2PtAuSe

A relaxed LiTe2PtAuSe crystal (GGA-PBE, the Open Quantum Materials Database).

a b c (Å): 6.988 6.988 10.573
angles (deg): 90.00 90.00 146.61
Atoms (fractional coordinates):
1 Li 0.193 0.807 0.750
2 Li 0.807 0.193 0.250
3 Te 0.133 0.867 0.007
4 Te 0.133 0.867 0.493
5 Te 0.867 0.133 0.507
6 Te 0.867 0.133 0.993
7 Pt 0.500 0.500 0.000
8 Pt 0.500 0.500 0.500
9 Au 0.158 0.842 0.250
10 Au 0.842 0.158 0.750
11 Se 0.442 0.558 0.250
12 Se 0.558 0.442 0.750

Values from the calculation:
total energy = -3.832 eV per atom
total magnetization = 0.0 μB per cell

***

# LiTePtAuSe2

A relaxed LiTePtAuSe2 crystal (GGA-PBE, the Open Quantum Materials Database).

a b c (Å): 7.219 7.219 10.759
angles (deg): 90.00 90.00 150.77
Atoms (fractional coordinates):
1 Li 0.215 0.785 0.750
2 Li 0.785 0.215 0.250
3 Te 0.442 0.558 0.250
4 Te 0.558 0.442 0.750
5 Pt 0.500 0.500 0.000
6 Pt 0.500 0.500 0.500
7 Au 0.142 0.858 0.250
8 Au 0.858 0.142 0.750
9 Se 0.125 0.875 0.020
10 Se 0.125 0.875 0.480
11 Se 0.875 0.125 0.520
12 Se 0.875 0.125 0.980

Values from the calculation:
total energy = -3.932 eV per atom
total magnetization = 0.0 μB per cell

***

# Li4Si2PtAu

A relaxed Li4Si2PtAu crystal (GGA-PBE, the Open Quantum Materials Database).

a b c (Å): 4.220 4.220 5.972
angles (deg): 90.00 90.00 90.00
Atoms (fractional coordinates):
1 Li 0.000 0.000 0.000
2 Li 0.000 0.500 0.748
3 Li 0.500 0.000 0.252
4 Li 0.500 0.500 0.500
5 Si 0.000 0.500 0.270
6 Si 0.500 0.000 0.730
7 Pt 0.000 0.000 0.500
8 Au 0.500 0.500 0.000

Values from the calculation:
total energy = -4.047 eV per atom
total magnetization = 0.0 μB per cell

***

# Li2Zn4PtAu

A relaxed Li2Zn4PtAu crystal (GGA-PBE, the Open Quantum Materials Database).

a b c (Å): 4.339 4.339 6.182
angles (deg): 90.00 90.00 90.00
Atoms (fractional coordinates):
1 Li 0.000 0.000 0.000
2 Li 0.500 0.500 0.500
3 Zn 0.000 0.500 0.239
4 Zn 0.000 0.500 0.759
5 Zn 0.500 0.000 0.241
6 Zn 0.500 0.000 0.761
7 Pt 0.500 0.500 0.000
8 Au 0.000 0.000 0.500

Values from the calculation:
total energy = -2.740 eV per atom
total magnetization = 0.0 μB per cell

***

# LiPuAu2

A relaxed LiPuAu2 crystal (GGA-PBE, the Open Quantum Materials Database).

a b c (Å): 3.285 3.285 7.225
angles (deg): 90.00 90.00 90.00
Atoms (fractional coordinates):
1 Li 0.000 0.000 0.000
2 Pu 0.000 0.000 0.500
3 Au 0.500 0.500 0.205
4 Au 0.500 0.500 0.795

Values from the calculation:
total energy = -6.182 eV per atom
total magnetization = 6.0 μB per cell